A plane-wave DFT calculation with PBE with a Hubbard U was carried out for Tl2CoSnF6 after structural relaxation.

The structure in extended XYZ format:
```
10
Lattice="6.237 0.000 0.000 3.115 5.412 0.000 0.009 3.569 5.193" Properties=species:S:1:pos:R:3 pbc="T T T"
Tl 1.561 0.883 1.235
Tl 7.800 8.098 3.958
Co 4.676 2.706 0.000
Sn 1.562 4.491 2.596
F 3.033 5.547 4.168
F 4.576 8.065 4.135
F 3.407 3.512 1.430
F 5.954 5.469 3.763
F 4.785 0.916 1.057
F 6.329 3.434 1.025
```

Output
Its crystal system is triclinic. The value obtained for the electronic total energy is -4.526 eV/atom. The calculated volume is 175 Å³/f.u. Its space group is P-1, No. 2. The calculation puts the total magnetization at 3.0 Bohr magnetons per cell.